# 1
DFT (GGA-PBE) results for DyPuSc2 after structural relaxation.

a b c (Å): 3.3699 3.3699 9.3123
angles (deg): 90.00 90.00 90.00
Last column: magnetic moment on the atom in μB.
Element x y z (fractional)
Pu: 0.5000 0.5000 0.0000  5.42
Sc: 0.0000 0.0000 0.7597  0.10
Sc: 0.0000 0.0000 0.2403  0.10
Dy: 0.5000 0.5000 0.5000  -0.05

Formation energy from the elements: 101 meV/atom
Calculated total energy: -7.80 eV per atom
Total moment: 6.10 μB per cell

=====

# 2
DFT (GGA-PBE) results for DyPuSc2 after structural relaxation.

a b c (Å): 5.3235 5.3235 5.3235
angles (deg): 60.00 60.00 60.00
Last column: magnetic moment on the atom in μB.
Element x y z (fractional)
Sc: 0.7500 0.7500 0.7500  0.07
Dy: 0.0000 0.0000 0.0000  -0.03
Sc: 0.2500 0.2500 0.2500  0.07
Pu: 0.5000 0.5000 0.5000  5.33

Formation energy from the elements: 141 meV/atom
Calculated total energy: -7.76 eV per atom
Total moment: 5.75 μB per cell

=====

# 3
DFT (GGA-PBE) results for DyPuSc2 after structural relaxation.

a b c (Å): 3.3632 3.3632 10.9577
angles (deg): 81.17 81.17 60.00
Last column: magnetic moment on the atom in μB.
Element x y z (fractional)
Dy: 0.5004 0.5004 0.4987  0.10
Sc: 0.0812 0.0812 0.7563  0.04
Pu: 0.6663 0.6663 0.0011  -5.38
Sc: 0.2521 0.2521 0.2438  0.03

Formation energy from the elements: 99 meV/atom
Calculated total energy: -7.80 eV per atom
Total moment: 5.48 μB per cell

=====

# 4
DFT (GGA-PBE) results for Dy5PuSc after structural relaxation.

a b c (Å): 5.6633 7.1197 7.1197
angles (deg): 73.11 82.64 82.64
Last column: magnetic moment on the atom in μB.
Element x y z (fractional)
Dy: 0.0000 0.6860 0.3140  0.04
Sc: 0.5000 0.5000 0.5000  -0.24
Dy: 0.5000 0.0000 0.0000  0.36
Dy: 0.0000 0.3140 0.6860  0.04
Dy: 0.0954 0.7570 0.7570  0.14
Pu: 0.0000 0.0000 0.0000  5.62
Dy: 0.9046 0.2430 0.2430  0.14

Formation energy from the elements: 919 meV/atom
Calculated total energy: -5.32 eV per atom
Total moment: 5.77 μB per cell

=====

# 5
DFT (GGA-PBE) results for Dy4PuSc5 after structural relaxation.

a b c (Å): 5.4990 7.6568 7.6568
angles (deg): 82.59 68.96 68.96
Last column: magnetic moment on the atom in μB.
Element x y z (fractional)
Sc: 0.6592 0.0000 0.0000  0.28
Sc: 0.1438 0.6313 0.0000  0.07
Dy: 0.7732 0.6842 0.6842  0.02
Dy: 0.4574 0.6842 0.3158  0.02
Sc: 0.1438 0.0000 0.6313  0.07
Pu: 0.1833 0.0000 0.0000  5.65
Sc: 0.7752 0.3687 0.0000  0.07
Sc: 0.7752 0.0000 0.3687  0.07
Dy: 0.4575 0.3158 0.6842  0.02
Dy: 0.1417 0.3158 0.3158  0.02

Formation energy from the elements: 214 meV/atom
Calculated total energy: -6.23 eV per atom
Total moment: 6.59 μB per cell

=====

# 6
DFT (GGA-PBE) results for Dy2PuSc8 after structural relaxation.

a b c (Å): 5.1296 7.3809 8.7746
angles (deg): 114.72 107.00 90.00
Last column: magnetic moment on the atom in μB.
Element x y z (fractional)
Sc: 0.9994 0.2859 0.9988  0.08
Sc: 0.8382 0.8371 0.6764  -0.02
Dy: 0.7989 0.3003 0.5979  -0.04
Sc: 0.3669 0.1554 0.7339  0.12
Pu: 0.5000 0.0000 0.0000  5.47
Sc: 0.3687 0.5780 0.7374  0.12
Sc: 0.6313 0.4220 0.2626  0.12
Sc: 0.1618 0.1629 0.3236  -0.02
Dy: 0.2011 0.6997 0.4021  -0.04
Sc: 0.6331 0.8446 0.2661  0.12
Sc: 0.0006 0.7141 0.0012  0.08

Formation energy from the elements: 132 meV/atom
Calculated total energy: -6.61 eV per atom
Total moment: 6.65 μB per cell

=====

# 7
DFT (GGA-PBE) results for DyPu2Sc after structural relaxation.

a b c (Å): 3.3444 3.3444 11.4872
angles (deg): 81.63 81.63 60.00
Last column: magnetic moment on the atom in μB.
Element x y z (fractional)
Dy: 0.3384 0.3384 0.9847  -0.07
Sc: 0.8313 0.8313 0.5060  -0.01
Pu: 0.0865 0.0865 0.7406  5.38
Pu: 0.2438 0.2438 0.2687  -5.58

Formation energy from the elements: 222 meV/atom
Calculated total energy: -9.68 eV per atom
Total moment: 0.38 μB per cell

=====

# 8
DFT (GGA-PBE) results for DyPu2Sc after structural relaxation.

a b c (Å): 3.2996 3.2996 11.8837
angles (deg): 82.02 82.02 60.00
Last column: magnetic moment on the atom in μB.
Element x y z (fractional)
Sc: 0.0000 0.0000 0.0000  -0.02
Pu: 0.0829 0.0829 0.7514  5.60
Dy: 0.5000 0.5000 0.5000  0.01
Pu: 0.9171 0.9171 0.2486  5.60

Formation energy from the elements: 330 meV/atom
Calculated total energy: -9.57 eV per atom
Total moment: 11.74 μB per cell

=====

# 9
DFT (GGA-PBE) results for DyPu2Sc after structural relaxation.

a b c (Å): 4.9487 4.6612 4.6612
angles (deg): 90.00 90.00 90.00
Last column: magnetic moment on the atom in μB.
Element x y z (fractional)
Sc: 0.5000 0.5000 0.5000  0.11
Dy: 0.5000 0.0000 0.0000  0.24
Pu: 0.0000 0.5000 0.0000  5.50
Pu: 0.0000 0.0000 0.5000  5.50

Formation energy from the elements: 170 meV/atom
Calculated total energy: -9.73 eV per atom
Total moment: 12.25 μB per cell

=====

# 10
DFT (GGA-PBE) results for DyPuSc3 after structural relaxation.

a b c (Å): 5.4629 6.5191 8.6694
angles (deg): 112.09 71.60 90.00
Last column: magnetic moment on the atom in μB.
Element x y z (fractional)
Sc: 0.4000 0.5866 0.6997  0.14
Pu: 0.8023 0.4477 0.8954  5.66
Pu: 0.1977 0.5523 0.1046  5.66
Sc: 0.0000 0.0000 0.0000  0.12
Dy: 0.9766 0.7735 0.5469  0.11
Dy: 0.0234 0.2265 0.4531  0.11
Sc: 0.6000 0.8869 0.3003  0.14
Sc: 0.6000 0.4134 0.3003  0.14
Sc: 0.4000 0.1131 0.6997  0.14
Sc: 0.5000 0.0000 0.0000  0.12

Formation energy from the elements: 236 meV/atom
Calculated total energy: -7.35 eV per atom
Total moment: 14.23 μB per cell

=====

# 11
DFT (GGA-PBE) results for DyPuSc2 after structural relaxation.

a b c (Å): 3.2579 3.2579 10.8846
angles (deg): 89.99 89.99 112.76
Last column: magnetic moment on the atom in μB.
Element x y z (fractional)
Sc: 0.0000 0.0000 0.7559  0.21
Sc: 0.0000 0.0000 0.2441  0.21
Dy: 0.5000 0.5000 0.5000  0.14
Pu: 0.5000 0.5000 0.0000  5.57

Formation energy from the elements: 163 meV/atom
Calculated total energy: -7.74 eV per atom
Total moment: 6.83 μB per cell

=====

# 12
DFT (GGA-PBE) results for Dy12PuSc7 after structural relaxation.

a b c (Å): 9.0111 9.0111 9.0111
angles (deg): 108.47 108.47 108.47
Last column: magnetic moment on the atom in μB.
Element x y z (fractional)
Dy: 0.6964 0.1340 0.0271  0.01
Dy: 0.3036 0.8660 0.9729  0.01
Dy: 0.8386 0.5655 0.3612  0.06
Dy: 0.8660 0.9729 0.3036  0.01
Dy: 0.4345 0.6388 0.1614  0.06
Sc: 0.5000 0.5000 0.5000  0.04
Sc: 0.8752 0.6026 0.7348  0.01
Sc: 0.3974 0.2652 0.1248  0.01
Dy: 0.1340 0.0271 0.6964  0.01
Sc: 0.6026 0.7348 0.8752  0.01
Dy: 0.6388 0.1614 0.4345  0.06
Dy: 0.9729 0.3036 0.8660  0.01
Dy: 0.5655 0.3612 0.8386  0.06
Dy: 0.3612 0.8386 0.5655  0.06
Pu: 0.0000 0.0000 0.0000  -5.42
Dy: 0.1614 0.4345 0.6388  0.06
Sc: 0.2652 0.1248 0.3974  0.01
Sc: 0.7348 0.8752 0.6026  0.01
Sc: 0.1248 0.3974 0.2652  0.01
Dy: 0.0271 0.6964 0.1340  0.01

Formation energy from the elements: 141 meV/atom
Calculated total energy: -5.55 eV per atom
Total moment: 4.91 μB per cell

=====

# 13
DFT (GGA-PBE) results for DyPuSc2 after structural relaxation.

a b c (Å): 4.7120 6.6718 6.7298
angles (deg): 90.00 90.00 90.00
Last column: magnetic moment on the atom in μB.
Element x y z (fractional)
Sc: 0.5000 0.5000 0.2599  0.15
Dy: 0.0000 0.2500 0.0001  0.02
Sc: 0.5000 0.0001 0.7401  0.15
Sc: 0.5000 0.9999 0.2599  0.15
Sc: 0.5000 0.5000 0.7401  0.15
Pu: 0.0000 0.7501 0.5000  5.47
Dy: 0.0000 0.7500 0.9999  0.02
Pu: 0.0000 0.2499 0.5000  5.47

Formation energy from the elements: 106 meV/atom
Calculated total energy: -7.79 eV per atom
Total moment: 12.77 μB per cell

=====

# 14
DFT (GGA-PBE) results for DyPuSc3 after structural relaxation.

a b c (Å): 6.3754 6.3754 8.5806
angles (deg): 68.19 68.19 60.00
Last column: magnetic moment on the atom in μB.
Element x y z (fractional)
Sc: 0.1095 0.6186 0.6533  0.16
Sc: 0.6186 0.6186 0.6533  0.16
Sc: 0.8905 0.3814 0.3467  0.16
Dy: 0.9240 0.9240 0.2281  0.08
Pu: 0.6662 0.6662 0.0015  5.65
Sc: 0.3814 0.3814 0.3467  0.16
Pu: 0.3338 0.3338 0.9985  5.65
Sc: 0.3814 0.8905 0.3467  0.16
Sc: 0.6186 0.1095 0.6533  0.16
Dy: 0.0760 0.0760 0.7719  0.08

Formation energy from the elements: 254 meV/atom
Calculated total energy: -7.33 eV per atom
Total moment: 14.42 μB per cell

=====

# 15
DFT (GGA-PBE) results for DyPuSc2 after structural relaxation.

a b c (Å): 4.4568 4.8798 4.8798
angles (deg): 90.00 90.00 90.00
Last column: magnetic moment on the atom in μB.
Element x y z (fractional)
Sc: 0.0000 0.0000 0.5000  0.10
Sc: 0.0000 0.5000 0.0000  0.10
Pu: 0.5000 0.5000 0.5000  5.38
Dy: 0.5000 0.0000 0.0000  0.03

Formation energy from the elements: 141 meV/atom
Calculated total energy: -7.76 eV per atom
Total moment: 6.02 μB per cell

=====

# 16
DFT (GGA-PBE) results for DyPu2Sc after structural relaxation.

a b c (Å): 3.3116 3.3116 9.8579
angles (deg): 90.00 90.00 90.00
Last column: magnetic moment on the atom in μB.
Element x y z (fractional)
Pu: 0.0000 0.0000 0.7615  5.53
Pu: 0.0000 0.0000 0.2385  5.53
Sc: 0.5000 0.5000 0.0000  0.22
Dy: 0.5000 0.5000 0.5000  0.18

Formation energy from the elements: 168 meV/atom
Calculated total energy: -9.73 eV per atom
Total moment: 12.47 μB per cell

=====

# 17
DFT (GGA-PBE) results for Dy3Pu2ScSe6 after structural relaxation.

a b c (Å): 4.0528 8.1637 9.0928
angles (deg): 103.20 102.88 90.00
Last column: magnetic moment on the atom in μB.
Element x y z (fractional)
Se: 0.0032 0.7609 0.0064  -0.01
Dy: 0.5000 0.5000 0.0000  0.05
Se: 0.6619 0.0770 0.3238  -0.03
Pu: 0.1647 0.3314 0.3294  5.45
Se: 0.3339 0.4143 0.6678  -0.04
Se: 0.3381 0.9230 0.6762  -0.03
Se: 0.6661 0.5857 0.3322  -0.04
Se: 0.9968 0.2391 0.9936  -0.01
Dy: 0.8307 0.1654 0.6614  0.02
Dy: 0.1693 0.8346 0.3386  0.02
Pu: 0.8353 0.6686 0.6706  5.45
Sc: 0.5000 0.0000 0.0000  0.10

Calculated total energy: -7.47 eV per atom
Total moment: 11.79 μB per cell

=====

# 18
DFT (GGA-PBE) results for DyPu2Sc3Se6 after structural relaxation.

a b c (Å): 3.9725 8.0321 8.9470
angles (deg): 103.48 102.83 90.00
Last column: magnetic moment on the atom in μB.
Element x y z (fractional)
Sc: 0.1674 0.8332 0.3349  0.03
Pu: 0.1657 0.3325 0.3314  5.46
Sc: 0.5000 0.5000 0.0000  0.06
Se: 0.9946 0.2572 0.9893  -0.01
Se: 0.6696 0.0708 0.3391  -0.03
Sc: 0.8326 0.1668 0.6651  0.03
Se: 0.3304 0.9292 0.6609  -0.03
Se: 0.0054 0.7428 0.0107  -0.01
Pu: 0.8343 0.6675 0.6686  5.46
Se: 0.3373 0.4063 0.6747  -0.04
Se: 0.6627 0.5937 0.3253  -0.04
Dy: 0.5000 0.0000 0.0000  0.08

Calculated total energy: -7.71 eV per atom
Total moment: 11.75 μB per cell

=====

# 19
DFT (GGA-PBE) results for Dy2PuSc3Se6 after structural relaxation.

a b c (Å): 3.9628 8.0041 8.9201
angles (deg): 103.20 102.83 90.00
Last column: magnetic moment on the atom in μB.
Element x y z (fractional)
Sc: 0.8352 0.1625 0.6704  0.03
Se: 0.3352 0.4071 0.6704  0.01
Dy: 0.8361 0.6700 0.6723  0.05
Se: 0.9961 0.2619 0.9923  -0.03
Se: 0.6648 0.5929 0.3296  0.01
Sc: 0.1648 0.8375 0.3296  0.03
Dy: 0.1639 0.3300 0.3277  0.05
Pu: 0.5000 0.0000 0.0000  5.46
Se: 0.3278 0.9225 0.6556  -0.01
Se: 0.6722 0.0775 0.3444  -0.01
Se: 0.0039 0.7381 0.0077  -0.03
Sc: 0.5000 0.5000 0.0000  -0.02

Calculated total energy: -6.93 eV per atom
Total moment: 5.99 μB per cell

=====

# 20
DFT (GGA-PBE) results for SmDyPuSc after structural relaxation.

a b c (Å): 5.4930 5.4930 5.4930
angles (deg): 60.00 60.00 60.00
Last column: magnetic moment on the atom in μB.
Element x y z (fractional)
Sc: 0.5000 0.5000 0.5000  0.11
Sm: 0.7500 0.7500 0.7500  -0.02
Dy: 0.0000 0.0000 0.0000  0.15
Pu: 0.2500 0.2500 0.2500  5.46

Formation energy from the elements: 197 meV/atom
Calculated total energy: -7.30 eV per atom
Total moment: 6.14 μB per cell